# 1
DFT (GGA-PBE) results for ScMn2Rh after structural relaxation.

Structure (extended XYZ):
```
4
Lattice="5.3404 -0.0301 0.3538 4.4158 3.0035 0.3538 1.5248 0.4647 4.0725" Properties=species:S:1:pos:R:3 pbc="T T T"
Mn 1.6999 0.5181 4.0011
Mn 5.4654 1.6657 2.4614
Rh 8.4607 2.5786 3.5850
Sc 2.8202 0.8595 1.1950
```

Summary:
For the volume, the calculation gives 16.02 Å³ per atom. The calculation puts the energy above the most stable polymorph in this dataset at 100 meV per atom. The calculated formation energy is -0.148 eV per atom. The space group is Immm.

---

# 2
DFT (GGA-PBE) results for ScMnRh2 after structural relaxation.

Structure (extended XYZ):
```
4
Lattice="-3.6247 1.0419 -3.3737 -3.9208 -1.9274 -2.5531 -3.6307 0.9998 2.3078" Properties=species:S:1:pos:R:3 pbc="T T T"
Mn -2.6367 -0.0421 -1.1038
Rh -7.7480 -0.8196 -5.7615
Rh -8.1811 0.0311 -2.8395
Sc -5.7441 0.1167 -1.6504
```

Summary:
For the volume, the calculation gives 15.70 Å³ per atom. The calculated formation energy is -0.444 eV per atom. The space group is Cm.

---

# 3
DFT (GGA-PBE) results for ScMnRh2 after structural relaxation.

Structure (extended XYZ):
```
4
Lattice="-5.8568 0.9694 6.5220 -7.4394 -0.5737 4.7015 -5.6459 -1.8863 6.5072" Properties=species:S:1:pos:R:3 pbc="T T T"
Mn -14.1260 -1.1117 13.2227
Rh -0.0811 -0.0064 0.0759
Rh -4.7392 -0.3729 4.4361
Sc -9.4667 -0.7450 8.8613
```

Summary:
For the volume, the calculation gives 15.38 Å³ per atom. The calculated formation energy is 0.028 eV per atom. The space group is R3m.

---

# 4
DFT (GGA-PBE) results for ScMn2Rh after structural relaxation.

Structure (extended XYZ):
```
4
Lattice="-1.3726 -2.1708 -1.3238 2.8441 -2.5727 1.2699 -2.8286 -0.9281 4.4548" Properties=species:S:1:pos:R:3 pbc="T T T"
Mn -0.0384 -0.0126 0.0605
Mn -1.3759 -0.4515 2.1669
Rh 0.0286 -2.6038 1.0867
Sc -1.3857 -3.0678 3.3141
```

Summary:
For the volume, the calculation gives 15.64 Å³ per atom. The calculation puts the energy above the most stable polymorph in this dataset at 231 meV per atom. The calculated formation energy is -0.017 eV per atom. The space group is Pmmm.

---

# 5
DFT (GGA-PBE) results for Sc8MnRh2 after structural relaxation.

Structure (extended XYZ):
```
11
Lattice="-3.9646 -1.9638 1.0841 1.3823 -5.4844 -4.8793 4.3054 0.2596 6.6456" Properties=species:S:1:pos:R:3 pbc="T T T"
Sc 0.0006 -6.0580 -1.4014
Sc 2.3252 -3.5218 2.1240
Sc 0.7854 -0.9026 1.2372
Sc 0.4369 -1.7334 -1.5420
Sc 0.9377 -6.2859 1.6132
Sc -0.6021 -3.6666 0.7264
Sc 1.7225 -1.1304 4.2517
Sc 1.2862 -5.4551 4.3924
Mn -1.9823 -0.9819 0.5420
Rh 1.8003 -4.0170 -0.6926
Rh -0.0772 -3.1714 3.5430
```

Summary:
For the volume, the calculation gives 20.43 Å³ per atom. The calculated formation energy is -0.294 eV per atom. The space group is Immm.

---

# 6
DFT (GGA-PBE) results for Sc4MnRh after structural relaxation.

Structure (extended XYZ):
```
6
Lattice="-4.4857 -0.7902 3.1574 -4.5313 3.0888 -0.8007 -4.5571 -2.2786 -2.1806" Properties=species:S:1:pos:R:3 pbc="T T T"
Sc -7.3345 -0.3886 1.6485
Sc -7.3703 -1.1346 -1.0270
Sc -7.3573 1.5557 -0.3353
Sc -5.0861 0.0075 0.0660
Mn -10.1806 0.0150 0.1321
Rh 0.0000 0.0000 0.0000
```

Summary:
For the volume, the calculation gives 20.06 Å³ per atom. The calculated formation energy is 0.412 eV per atom. The space group is F-43m.